Entry 1:
# Li8Cd2Hg3 GGA-PBE optimized geometry
data_Li8Cd2Hg3
_cell_length_a 10.824
_cell_length_b 9.641
_cell_length_c 5.032
_cell_angle_alpha 90.00
_cell_angle_beta 111.69
_cell_angle_gamma 90.00
_symmetry_space_group_name_H-M 'C 1 2/m 1'
_symmetry_Int_Tables_number 12
_symmetry_space_group_name_Hall '-C 2y'
loop_
_atom_site_label
_atom_site_type_symbol
_atom_site_fract_x
_atom_site_fract_y
_atom_site_fract_z
Li1 Li 0.071 0.000 0.274
Li2 Li 0.141 0.500 0.582
Li3 Li 0.159 0.257 0.153
Cd1 Cd 0.197 0.000 0.849
Hg1 Hg 0.000 0.242 0.500
Hg2 Hg 0.000 0.500 0.000
# Formation enthalpy at 0 K in meV per atom: -236

Entry 2:
# Rb2MnZnCl6 GGA-PBE optimized geometry
data_Rb2MnZnCl6
_cell_length_a 7.425
_cell_length_b 7.425
_cell_length_c 9.094
_cell_angle_alpha 90.00
_cell_angle_beta 90.00
_cell_angle_gamma 90.00
_symmetry_space_group_name_H-M 'I 4/m m m'
_symmetry_Int_Tables_number 139
_symmetry_space_group_name_Hall '-I 4 2'
loop_
_atom_site_label
_atom_site_type_symbol
_atom_site_fract_x
_atom_site_fract_y
_atom_site_fract_z
Rb1 Rb 0.000 0.500 0.250
Mn1 Mn 0.000 0.000 0.000
Zn1 Zn 0.000 0.000 0.500
Cl1 Cl 0.000 0.000 0.257
Cl2 Cl 0.246 0.246 0.000
# Excess energy over the best structure of this formula in the dataset in kJ/mol of atoms: 4.2
# Energy relative to the elements, uncorrected in eV per atom: -1.393

Entry 3:
# LiTa2Ag GGA-PBE optimized geometry
data_LiTa2Ag
_cell_length_a 4.058
_cell_length_b 4.058
_cell_length_c 8.257
_cell_angle_alpha 90.00
_cell_angle_beta 90.00
_cell_angle_gamma 90.00
_symmetry_space_group_name_H-M 'I -4 m 2'
_symmetry_Int_Tables_number 119
_symmetry_space_group_name_Hall 'I -4 -2'
loop_
_atom_site_label
_atom_site_type_symbol
_atom_site_fract_x
_atom_site_fract_y
_atom_site_fract_z
Li1 Li 0.000 0.000 0.000
Ta1 Ta 0.000 0.000 0.500
Ta2 Ta 0.000 0.500 0.750
Ag1 Ag 0.000 0.500 0.250
# Excess energy over the best structure of this formula in the dataset in kJ/mol of atoms: 37.6
# Formation enthalpy at 0 K in meV per atom: 537

Entry 4:
# AcAl2SiIr GGA-PBE optimized geometry
data_AcAl2SiIr
_cell_length_a 4.168
_cell_length_b 4.285
_cell_length_c 11.122
_cell_angle_alpha 90.00
_cell_angle_beta 90.00
_cell_angle_gamma 90.00
_symmetry_space_group_name_H-M 'I m m 2'
_symmetry_Int_Tables_number 44
_symmetry_space_group_name_Hall 'I 2 -2'
loop_
_atom_site_label
_atom_site_type_symbol
_atom_site_fract_x
_atom_site_fract_y
_atom_site_fract_z
Ac1 Ac 0.000 0.000 0.000
Al1 Al 0.000 0.000 0.374
Al2 Al 0.000 0.500 0.244
Si1 Si 0.000 0.000 0.617
Ir1 Ir 0.000 0.500 0.740
# Energy relative to the elements, uncorrected in eV per atom: -0.636

Entry 5:
# ZrZnH2Ru GGA-PBE optimized geometry
data_ZrZnH2Ru
_cell_length_a 3.622
_cell_length_b 3.622
_cell_length_c 5.181
_cell_angle_alpha 90.00
_cell_angle_beta 90.00
_cell_angle_gamma 90.00
_symmetry_space_group_name_H-M 'P 4/m m m'
_symmetry_Int_Tables_number 123
_symmetry_space_group_name_Hall '-P 4 2'
loop_
_atom_site_label
_atom_site_type_symbol
_atom_site_fract_x
_atom_site_fract_y
_atom_site_fract_z
Zr1 Zr 0.000 0.000 0.000
Zn1 Zn 0.500 0.500 0.500
H1 H 0.000 0.500 0.500
Ru1 Ru 0.500 0.500 0.000
# Calculated total energy in eV per atom: -4.752

Entry 6:
# LaCdHgPb GGA-PBE optimized geometry
data_LaCdHgPb
_cell_length_a 4.624
_cell_length_b 4.822
_cell_length_c 4.996
_cell_angle_alpha 90.00
_cell_angle_beta 90.00
_cell_angle_gamma 90.00
_symmetry_space_group_name_H-M 'P m m m'
_symmetry_Int_Tables_number 47
_symmetry_space_group_name_Hall '-P 2 2'
loop_
_atom_site_label
_atom_site_type_symbol
_atom_site_fract_x
_atom_site_fract_y
_atom_site_fract_z
La1 La 0.000 0.000 0.000
Cd1 Cd 0.000 0.500 0.500
Hg1 Hg 0.500 0.000 0.500
Pb1 Pb 0.500 0.500 0.000
# Formation enthalpy at 0 K in meV per atom: -410

Entry 7:
# Er8TlIn5 GGA-PBE optimized geometry
data_Er8TlIn5
_cell_length_a 9.241
_cell_length_b 9.241
_cell_length_c 9.259
_cell_angle_alpha 90.00
_cell_angle_beta 90.00
_cell_angle_gamma 90.00
_symmetry_space_group_name_H-M 'I -4'
_symmetry_Int_Tables_number 82
_symmetry_space_group_name_Hall 'I -4'
loop_
_atom_site_label
_atom_site_type_symbol
_atom_site_fract_x
_atom_site_fract_y
_atom_site_fract_z
Er1 Er 0.075 0.175 0.300
Er2 Er 0.075 0.324 0.948
Tl1 Tl 0.000 0.500 0.250
In1 In 0.000 0.000 0.000
In2 In 0.125 0.249 0.624
# Formation enthalpy at 0 K in meV per atom: -282

Entry 8:
# SrPa2O6 GGA-PBE optimized geometry
data_SrPa2O6
_cell_length_a 3.840
_cell_length_b 3.840
_cell_length_c 17.037
_cell_angle_alpha 90.00
_cell_angle_beta 90.00
_cell_angle_gamma 90.00
_symmetry_space_group_name_H-M 'I 4/m m m'
_symmetry_Int_Tables_number 139
_symmetry_space_group_name_Hall '-I 4 2'
loop_
_atom_site_label
_atom_site_type_symbol
_atom_site_fract_x
_atom_site_fract_y
_atom_site_fract_z
Sr1 Sr 0.000 0.000 0.000
Pa1 Pa 0.000 0.000 0.335
O1 O 0.000 0.500 0.098
O2 O 0.000 0.500 0.250
# Excess energy over the best structure of this formula in the dataset in kJ/mol of atoms: 2.1
# Energy relative to the elements, uncorrected in eV per atom: -3.549

Entry 9:
# Cd3FeBi GGA-PBE optimized geometry
data_Cd3FeBi
_cell_length_a 5.062
_cell_length_b 5.062
_cell_length_c 5.062
_cell_angle_alpha 90.00
_cell_angle_beta 90.00
_cell_angle_gamma 90.00
_symmetry_space_group_name_H-M 'P m -3 m'
_symmetry_Int_Tables_number 221
_symmetry_space_group_name_Hall '-P 4 2 3'
loop_
_atom_site_label
_atom_site_type_symbol
_atom_site_fract_x
_atom_site_fract_y
_atom_site_fract_z
Cd1 Cd 0.000 0.000 0.500
Fe1 Fe 0.000 0.000 0.000
Bi1 Bi 0.500 0.500 0.500
# Excess energy over the best structure of this formula in the dataset in kJ/mol of atoms: 0.0
# Formation enthalpy at 0 K in meV per atom: 516

Entry 10:
# RbTlHg2Pb GGA-PBE optimized geometry
data_RbTlHg2Pb
_cell_length_a 6.136
_cell_length_b 6.136
_cell_length_c 5.991
_cell_angle_alpha 90.00
_cell_angle_beta 90.00
_cell_angle_gamma 90.00
_symmetry_space_group_name_H-M 'P 4/m m m'
_symmetry_Int_Tables_number 123
_symmetry_space_group_name_Hall '-P 4 2'
loop_
_atom_site_label
_atom_site_type_symbol
_atom_site_fract_x
_atom_site_fract_y
_atom_site_fract_z
Rb1 Rb 0.000 0.000 0.000
Tl1 Tl 0.500 0.500 0.000
Hg1 Hg 0.000 0.500 0.500
Pb1 Pb 0.500 0.500 0.500
# Excess energy over the best structure of this formula in the dataset in kJ/mol of atoms: 16.5
# Formation enthalpy at 0 K in meV per atom: 35

Entry 11:
# PaSi2Mo GGA-PBE optimized geometry
data_PaSi2Mo
_cell_length_a 3.8767
_cell_length_b 3.8767
_cell_length_c 17.6944
_cell_angle_alpha 90.00
_cell_angle_beta 90.00
_cell_angle_gamma 120.00
_symmetry_space_group_name_H-M 'R -3 m'
_symmetry_Int_Tables_number 166
_symmetry_space_group_name_Hall '-R 3 2"'
loop_
_atom_site_label
_atom_site_type_symbol
_atom_site_fract_x
_atom_site_fract_y
_atom_site_fract_z
Pa1 Pa 0.0000 0.0000 0.0000
Si1 Si 0.0000 0.0000 0.2333
Mo1 Mo 0.0000 0.0000 0.5000
# Excess energy over the best structure of this formula in the dataset in kJ/mol of atoms: 31.4
# Energy relative to the elements, uncorrected in eV per atom: -0.196

Entry 12:
# ScTl2Se GGA-PBE optimized geometry
data_ScTl2Se
_cell_length_a 3.7495
_cell_length_b 3.7495
_cell_length_c 25.7038
_cell_angle_alpha 90.00
_cell_angle_beta 90.00
_cell_angle_gamma 120.00
_symmetry_space_group_name_H-M 'R -3 m'
_symmetry_Int_Tables_number 166
_symmetry_space_group_name_Hall '-R 3 2"'
loop_
_atom_site_label
_atom_site_type_symbol
_atom_site_fract_x
_atom_site_fract_y
_atom_site_fract_z
Sc1 Sc 0.0000 0.0000 0.0000
Tl1 Tl 0.0000 0.0000 0.2437
Se1 Se 0.0000 0.0000 0.5000
# Energy relative to the elements, uncorrected in eV per atom: -0.076